<one>
Density functional theory data (PBE-GGA) for a relaxed structure of BaRu3Se.

```
BaRu3Se
1.0
4.7169 0.0000 0.0000
0.0000 4.7169 0.0000
0.0000 0.0000 4.7169
Ba Ru Se
1 3 1
Direct
0.0000 0.0000 0.0000 Ba
0.0000 0.5000 0.5000 Ru
0.5000 0.0000 0.5000 Ru
0.5000 0.5000 0.0000 Ru
0.5000 0.5000 0.5000 Se
```


<two>
Density functional theory data (PBE-GGA) for a relaxed structure of BaRu3Se.

```
BaRu3Se
1.0
5.1192 0.0000 0.0000
0.0000 5.1192 0.0000
0.0000 0.0000 5.1192
Ba Ru Se
1 3 1
Direct
0.0000 0.0000 0.0000 Ba
0.0000 0.0000 0.5000 Ru
0.0000 0.5000 0.0000 Ru
0.5000 0.0000 0.0000 Ru
0.5000 0.5000 0.5000 Se
```


Least stable = <two>


<one>
Density functional theory data (PBE-GGA) for a relaxed structure of BaRuSe3.

```
BaRuSe3
1.0
6.0048 0.0000 0.0000
0.0000 6.0048 0.0000
0.0000 0.0000 6.0048
Ba Ru Se
1 1 3
Direct
0.0000 0.0000 0.0000 Ba
0.5000 0.5000 0.5000 Ru
0.0000 0.0000 0.5000 Se
0.0000 0.5000 0.0000 Se
0.5000 0.0000 0.0000 Se
```


<two>
Density functional theory data (PBE-GGA) for a relaxed structure of BaRuSe3.

```
BaRuSe3
1.0
5.0597 0.0000 0.0000
0.0000 5.0597 0.0000
0.0000 0.0000 5.0597
Ba Ru Se
1 1 3
Direct
0.0000 0.0000 0.0000 Ba
0.5000 0.5000 0.5000 Ru
0.0000 0.5000 0.5000 Se
0.5000 0.0000 0.5000 Se
0.5000 0.5000 0.0000 Se
```


Least stable = <one>